1.
This record from the Alexandria database describes a geometry-optimized KSe2Br structure. The functional is PBE.

Structure (POSCAR):
```
KSe2Br
1.0
-4.030 -3.867 -0.383
-1.398 -3.040 4.488
-4.929 0.834 2.521
K Se Br
1 2 1
Cartesian
0.000 0.000 0.000
-2.589 -1.518 1.656
-7.768 -4.555 4.969
-5.179 -3.037 3.313
```

Output
offset from the most stable computed form	84.35	kJ per mole of atoms
final energy	-9.00	eV for the cell shown
formation energy (no corrections)	185	meV per atom

***

2.
This record from the Alexandria database describes a geometry-optimized Nd2SmI6 structure. The functional is PBE.

Structure (POSCAR):
```
Nd2SmI6
1.0
8.155 0.000 0.000
0.000 6.338 -3.659
0.000 0.000 7.319
Nd Sm I
2 1 6
Cartesian
4.077 2.113 3.659
4.077 4.225 0.000
4.077 0.000 0.000
2.040 4.248 4.866
2.040 2.090 1.207
2.040 0.000 4.905
6.114 2.090 -1.207
6.114 4.248 2.453
6.114 6.338 -1.246
```

Output
offset from the most stable computed form	0.00	kJ per mole of atoms
final energy	-35.12	eV for the cell shown
formation energy (no corrections)	-1285	meV per atom

***

Question: Which of these has the highest formation energy (no corrections)?
Answer: KSe2Br

***

Question: Which value of offset from the most stable computed form does entry 2 give?
Answer: 0.00 kJ per mole of atoms

***

Question: Which of these has the lowest final energy?
Answer: Nd2SmI6

***

Question: Number 1 is which compound?
Answer: KSe2Br